# 1
The following is a DFT calculation (PBE) of a relaxed MgSi2Ni crystal.

D(E_F), states/eV per cell: 2.03
Space group: Pmmm, No. 47
VASP energy, hartree per atom: -0.16756
Crystal system: orthorhombic
Formation energy from raw total energies, eV/atom: -0.004

Cell and atoms, written as POSCAR:
```
MgSi2Ni
1.0
3.7673 0.0000 0.0000
0.0000 3.7837 0.0000
0.0000 0.0000 3.8843
Mg Si Ni
1 2 1
Direct
0.0000 0.0000 0.0000
0.0000 0.5000 0.5000
0.5000 0.0000 0.5000
0.5000 0.5000 0.0000
```


# 2
The following is a DFT calculation (PBE) of a relaxed MgSi2Ni crystal.

D(E_F), states/eV per cell: 2.23
Space group: P4mm, No. 99
VASP energy, hartree per atom: -0.16723
Crystal system: tetragonal
Formation energy from raw total energies, eV/atom: 0.005

Cell and atoms, written as POSCAR:
```
MgSi2Ni
1.0
2.8140 0.0000 0.0000
0.0000 2.8140 0.0000
0.0000 0.0000 7.2684
Mg Si Ni
1 2 1
Direct
0.0000 0.0000 0.0000
0.0000 0.0000 0.4357
0.5000 0.5000 0.6987
0.5000 0.5000 0.2591
```


# 3
The following is a DFT calculation (PBE) of a relaxed MgSi2Ni crystal.

D(E_F), states/eV per cell: 4.47
Space group: F-43m, No. 216
VASP energy, hartree per atom: -0.16253
Crystal system: cubic
Formation energy from raw total energies, eV/atom: 0.133

Cell and atoms, written as POSCAR:
```
MgSi2Ni
1.0
6.1063 0.0000 0.0000
0.0000 6.1063 0.0000
0.0000 0.0000 6.1063
Mg Si Ni
4 8 4
Direct
0.0000 0.0000 0.0000
0.0000 0.5000 0.5000
0.5000 0.0000 0.5000
0.5000 0.5000 0.0000
0.0000 0.0000 0.5000
0.0000 0.5000 0.0000
0.2500 0.2500 0.7500
0.2500 0.7500 0.2500
0.5000 0.0000 0.0000
0.5000 0.5000 0.5000
0.7500 0.2500 0.2500
0.7500 0.7500 0.7500
0.2500 0.2500 0.2500
0.2500 0.7500 0.7500
0.7500 0.2500 0.7500
0.7500 0.7500 0.2500
```


# 4
The following is a DFT calculation (PBE) of a relaxed Mg3SiNi crystal.

D(E_F), states/eV per cell: 3.42
Space group: Pm-3m, No. 221
VASP energy, hartree per atom: -0.10504
Crystal system: cubic
Formation energy from raw total energies, eV/atom: 0.339
Energy above the most stable polymorph in this dataset, eV per atom: 0.000

Cell and atoms, written as POSCAR:
```
Mg3SiNi
1.0
4.7265 0.0000 0.0000
0.0000 4.7265 0.0000
0.0000 0.0000 4.7265
Mg Si Ni
3 1 1
Direct
0.0000 0.0000 0.5000
0.0000 0.5000 0.0000
0.5000 0.0000 0.0000
0.5000 0.5000 0.5000
0.0000 0.0000 0.0000
```


# 5
The following is a DFT calculation (PBE) of a relaxed MgSi2Ni crystal.

D(E_F), states/eV per cell: 1.94
Space group: Pmm2, No. 25
VASP energy, hartree per atom: -0.16958
Crystal system: orthorhombic
Formation energy from raw total energies, eV/atom: -0.059

Cell and atoms, written as POSCAR:
```
MgSi2Ni
1.0
3.0560 0.0000 0.0000
0.0000 4.1299 0.0000
0.0000 0.0000 4.7301
Mg Si Ni
1 2 1
Direct
0.0000 0.0000 0.0000
0.5000 0.0000 0.5254
0.5000 0.5000 0.2501
0.5000 0.5000 0.7585
```


# 6
The following is a DFT calculation (PBE) of a relaxed MgSi2Ni5 crystal.

D(E_F), states/eV per cell: 7.40
Space group: Immm, No. 71
VASP energy, hartree per atom: -0.20477
Crystal system: orthorhombic
Formation energy from raw total energies, eV/atom: -0.404

Cell and atoms, written as POSCAR:
```
MgSi2Ni5
1.0
3.2670 0.0000 0.0000
0.0000 6.5944 0.0000
0.0000 0.0000 9.3979
Mg Si Ni
2 4 10
Direct
0.0000 0.0000 0.0000
0.5000 0.5000 0.5000
0.0000 0.5000 0.2441
0.0000 0.5000 0.7559
0.5000 0.0000 0.2559
0.5000 0.0000 0.7441
0.0000 0.2019 0.3588
0.0000 0.2019 0.6412
0.0000 0.5000 0.0000
0.0000 0.7981 0.3588
0.0000 0.7981 0.6412
0.5000 0.0000 0.5000
0.5000 0.2981 0.1412
0.5000 0.2981 0.8588
0.5000 0.7019 0.1412
0.5000 0.7019 0.8588
```


# 7
The following is a DFT calculation (PBE) of a relaxed MgSiNi2 crystal.

D(E_F), states/eV per cell: 2.20
Space group: Pmm2, No. 25
VASP energy, hartree per atom: -0.17906
Crystal system: orthorhombic
Formation energy from raw total energies, eV/atom: -0.227

Cell and atoms, written as POSCAR:
```
MgSiNi2
1.0
2.7557 0.0000 0.0000
0.0000 3.6439 0.0000
0.0000 0.0000 5.1018
Mg Si Ni
1 1 2
Direct
0.0000 0.0000 0.0000
0.5000 0.5000 0.6778
0.0000 0.0000 0.5026
0.5000 0.5000 0.2268
```


# 8
The following is a DFT calculation (PBE) of a relaxed Mg2Si3Ni4 crystal.

D(E_F), states/eV per cell: 8.12
Space group: Cmce, No. 64
VASP energy, hartree per atom: -0.19121
Crystal system: orthorhombic
Formation energy from raw total energies, eV/atom: -0.472

Cell and atoms, written as POSCAR:
```
Mg2Si3Ni4
1.0
2.5276 -6.9546 0.0000
2.5276 6.9546 0.0000
0.0000 0.0000 6.7314
Mg Si Ni
4 6 8
Direct
0.0954 0.9046 0.8984
0.4046 0.5954 0.3984
0.5954 0.4046 0.6016
0.9046 0.0954 0.1016
0.0000 0.0000 0.5000
0.0130 0.4870 0.7500
0.4870 0.0130 0.2500
0.5000 0.5000 0.0000
0.5130 0.9870 0.7500
0.9870 0.5130 0.2500
0.1760 0.8240 0.5169
0.1800 0.3200 0.7500
0.3200 0.1800 0.2500
0.3240 0.6760 0.0169
0.6760 0.3240 0.9831
0.6800 0.8200 0.7500
0.8200 0.6800 0.2500
0.8240 0.1760 0.4831
```


# 9
The following is a DFT calculation (PBE) of a relaxed Mg2Si2Ni crystal.

D(E_F), states/eV per cell: 4.63
Space group: Ibam, No. 72
VASP energy, hartree per atom: -0.15014
Crystal system: orthorhombic
Formation energy from raw total energies, eV/atom: -0.122

Cell and atoms, written as POSCAR:
```
Mg2Si2Ni
1.0
-2.9272 5.5598 2.7153
2.9272 -5.5598 2.7153
2.9272 5.5598 -2.7153
Mg Si Ni
4 4 2
Direct
0.1227 0.1734 0.2960
0.3773 0.6734 0.0507
0.6227 0.3266 0.9493
0.8773 0.8266 0.7040
0.1326 0.6907 0.8233
0.3674 0.1907 0.5582
0.6326 0.8093 0.4418
0.8674 0.3093 0.1767
0.2500 0.7500 0.5000
0.7500 0.2500 0.5000
```


# 10
The following is a DFT calculation (PBE) of a relaxed MgSi2Ni4 crystal.

D(E_F), states/eV per cell: 8.41
Space group: P4_2/mnm, No. 136
VASP energy, hartree per atom: -0.20292
Crystal system: tetragonal
Formation energy from raw total energies, eV/atom: -0.441

Cell and atoms, written as POSCAR:
```
MgSi2Ni4
1.0
6.9898 0.0000 0.0000
0.0000 6.9898 0.0000
0.0000 0.0000 3.6510
Mg Si Ni
2 4 8
Direct
0.0000 0.0000 0.0000
0.5000 0.5000 0.5000
0.2274 0.2274 0.5000
0.2726 0.7274 0.0000
0.7274 0.2726 0.0000
0.7726 0.7726 0.5000
0.0832 0.6633 0.5000
0.1633 0.4168 0.0000
0.3367 0.9168 0.5000
0.4168 0.1633 0.0000
0.5832 0.8367 0.0000
0.6633 0.0832 0.5000
0.8367 0.5832 0.0000
0.9168 0.3367 0.5000
```


# 11
The following is a DFT calculation (PBE) of a relaxed Mg3Si2Ni2 crystal.

D(E_F), states/eV per cell: 9.53
Space group: Pbcm, No. 57
VASP energy, hartree per atom: -0.15715
Crystal system: orthorhombic
Formation energy from raw total energies, eV/atom: -0.392

Cell and atoms, written as POSCAR:
```
Mg3Si2Ni2
1.0
5.1511 0.0000 0.0000
0.0000 7.1211 0.0000
0.0000 0.0000 12.0404
Mg Si Ni
12 8 8
Direct
0.1327 0.1118 0.1012
0.1327 0.1118 0.3988
0.1327 0.3882 0.6012
0.1327 0.3882 0.8988
0.3628 0.7350 0.7500
0.3628 0.7650 0.2500
0.6372 0.2350 0.7500
0.6372 0.2650 0.2500
0.8673 0.6118 0.1012
0.8673 0.6118 0.3988
0.8673 0.8882 0.6012
0.8673 0.8882 0.8988
0.1456 0.0884 0.7500
0.1456 0.4116 0.2500
0.3734 0.7500 0.0000
0.3734 0.7500 0.5000
0.6266 0.2500 0.0000
0.6266 0.2500 0.5000
0.8544 0.5884 0.7500
0.8544 0.9116 0.2500
0.3638 0.0311 0.5888
0.3638 0.0311 0.9112
0.3638 0.4689 0.0888
0.3638 0.4689 0.4112
0.6362 0.5311 0.5888
0.6362 0.5311 0.9112
0.6362 0.9689 0.0888
0.6362 0.9689 0.4112
```


# 12
The following is a DFT calculation (PBE) of a relaxed MgSi2Ni crystal.

D(E_F), states/eV per cell: 3.21
Space group: Cmmm, No. 65
VASP energy, hartree per atom: -0.16651
Crystal system: orthorhombic
Formation energy from raw total energies, eV/atom: 0.025

Cell and atoms, written as POSCAR:
```
MgSi2Ni
1.0
5.2754 0.0000 0.0000
0.0000 7.6597 0.0000
0.0000 0.0000 2.7510
Mg Si Ni
2 4 2
Direct
0.0000 0.0000 0.0000
0.5000 0.5000 0.0000
0.2500 0.2500 0.5000
0.2500 0.7500 0.5000
0.7500 0.2500 0.5000
0.7500 0.7500 0.5000
0.0000 0.5000 0.0000
0.5000 0.0000 0.0000
```


# 13
The following is a DFT calculation (PBE) of a relaxed SmMgSi2Ni2 crystal.

D(E_F), states/eV per cell: 2.97
Space group: P-3m1, No. 164
VASP energy, hartree per atom: -0.19923
Crystal system: trigonal
Formation energy from raw total energies, eV/atom: -0.634

Cell and atoms, written as POSCAR:
```
SmMgSi2Ni2
1.0
4.0822 0.0000 0.0000
-2.0411 3.5353 0.0000
0.0000 0.0000 6.7769
Sm Mg Si Ni
1 1 2 2
Direct
0.0000 0.0000 0.0000
0.0000 0.0000 0.5000
0.3333 0.6667 0.2899
0.6667 0.3333 0.7101
0.3333 0.6667 0.6666
0.6667 0.3333 0.3334
```


# 14
The following is a DFT calculation (PBE) of a relaxed Tb2MgSi3Ni12 crystal.

D(E_F), states/eV per cell: 11.90
Space group: R-3m, No. 166
VASP energy, hartree per atom: -0.20418
Crystal system: trigonal
Formation energy from raw total energies, eV/atom: -0.195

Cell and atoms, written as POSCAR:
```
Tb2MgSi3Ni12
1.0
4.2299 2.4421 3.9395
-4.2299 2.4421 3.9395
0.0000 -4.8843 3.9395
Tb Mg Si Ni
2 1 3 12
Direct
0.1517 0.1517 0.1517
0.8483 0.8483 0.8483
0.5000 0.5000 0.5000
0.0000 0.5000 0.5000
0.5000 0.0000 0.5000
0.5000 0.5000 0.0000
0.1166 0.1166 0.5953
0.1166 0.5953 0.1166
0.1980 0.6879 0.6879
0.3121 0.3121 0.8020
0.3121 0.8020 0.3121
0.4047 0.8834 0.8834
0.5953 0.1166 0.1166
0.6879 0.1980 0.6879
0.6879 0.6879 0.1980
0.8020 0.3121 0.3121
0.8834 0.4047 0.8834
0.8834 0.8834 0.4047
```


# 15
The following is a DFT calculation (PBE) of a relaxed TbMgSi2Ni2 crystal.

D(E_F), states/eV per cell: 3.02
Space group: P-3m1, No. 164
VASP energy, hartree per atom: -0.19890
Crystal system: trigonal
Formation energy from raw total energies, eV/atom: -0.640

Cell and atoms, written as POSCAR:
```
TbMgSi2Ni2
1.0
4.0675 0.0000 0.0000
-2.0338 3.5226 0.0000
0.0000 0.0000 6.6614
Tb Mg Si Ni
1 1 2 2
Direct
0.0000 0.0000 0.0000
0.0000 0.0000 0.5000
0.3333 0.6667 0.2864
0.6667 0.3333 0.7136
0.3333 0.6667 0.6751
0.6667 0.3333 0.3249
```


# 16
The following is a DFT calculation (PBE) of a relaxed Tb2MgSi3Ni4 crystal.

D(E_F), states/eV per cell: 6.30
Space group: P-4m2, No. 115
VASP energy, hartree per atom: -0.21038
Crystal system: tetragonal
Formation energy from raw total energies, eV/atom: -0.700

Cell and atoms, written as POSCAR:
```
Tb2MgSi3Ni4
1.0
4.0230 0.0000 0.0000
0.0000 4.0230 0.0000
0.0000 0.0000 9.7129
Tb Mg Si Ni
2 1 3 4
Direct
0.0000 0.5000 0.2394
0.5000 0.0000 0.7606
0.0000 0.0000 0.5000
0.0000 0.5000 0.8769
0.5000 0.0000 0.1231
0.5000 0.5000 0.5000
0.0000 0.0000 0.0000
0.0000 0.5000 0.6429
0.5000 0.0000 0.3571
0.5000 0.5000 0.0000
```


# 17
The following is a DFT calculation (PBE) of a relaxed MgSiNiTe2 crystal.

D(E_F), states/eV per cell: 3.30
Space group: P4/mmm, No. 123
VASP energy, hartree per atom: -0.12688
Crystal system: tetragonal
Formation energy from raw total energies, eV/atom: 0.364

Cell and atoms, written as POSCAR:
```
MgSiNiTe2
1.0
5.0784 0.0000 0.0000
0.0000 5.0784 0.0000
0.0000 0.0000 4.6062
Mg Si Ni Te
1 1 1 2
Direct
0.0000 0.0000 0.0000
0.5000 0.5000 0.0000
0.0000 0.0000 0.5000
0.0000 0.5000 0.5000
0.5000 0.0000 0.5000
```


# 18
The following is a DFT calculation (PBE) of a relaxed ThMgSi2Ni2 crystal.

D(E_F), states/eV per cell: 4.41
Space group: P-3m1, No. 164
VASP energy, hartree per atom: -0.21628
Crystal system: trigonal
Formation energy from raw total energies, eV/atom: -0.648

Cell and atoms, written as POSCAR:
```
ThMgSi2Ni2
1.0
4.0941 0.0000 0.0000
-2.0471 3.5456 0.0000
0.0000 0.0000 6.8458
Th Mg Si Ni
1 1 2 2
Direct
0.0000 0.0000 0.0000
0.0000 0.0000 0.5000
0.3333 0.6667 0.2902
0.6667 0.3333 0.7098
0.3333 0.6667 0.6732
0.6667 0.3333 0.3268
```


# 19
The following is a DFT calculation (PBE) of a relaxed TmMgSi2Ni2 crystal.

D(E_F), states/eV per cell: 2.99
Space group: P-3m1, No. 164
VASP energy, hartree per atom: -0.19756
Crystal system: trigonal
Formation energy from raw total energies, eV/atom: -0.630

Cell and atoms, written as POSCAR:
```
TmMgSi2Ni2
1.0
4.0537 0.0000 0.0000
-2.0268 3.5106 0.0000
0.0000 0.0000 6.5415
Tm Mg Si Ni
1 1 2 2
Direct
0.0000 0.0000 0.0000
0.0000 0.0000 0.5000
0.3333 0.6667 0.2827
0.6667 0.3333 0.7173
0.3333 0.6667 0.6859
0.6667 0.3333 0.3141
```


# 20
The following is a DFT calculation (PBE) of a relaxed Mg2SiNiW crystal.

D(E_F), states/eV per cell: 2.92
Space group: P4/mmm, No. 123
VASP energy, hartree per atom: -0.16074
Crystal system: tetragonal
Formation energy from raw total energies, eV/atom: 1.095

Cell and atoms, written as POSCAR:
```
Mg2SiNiW
1.0
4.8077 0.0000 0.0000
0.0000 4.8077 0.0000
0.0000 0.0000 4.1023
Mg Si Ni W
2 1 1 1
Direct
0.0000 0.5000 0.0000
0.5000 0.0000 0.0000
0.0000 0.0000 0.0000
0.0000 0.0000 0.5000
0.5000 0.5000 0.5000
```